## Ti2VMo (PBE)

Data for an optimized crystal structure of Ti2VMo.

extended XYZ file:
```
8
Lattice="6.913 0.000 0.000 0.000 6.913 0.000 3.457 3.457 2.697" Properties=species:S:1:pos:R:3 pbc="T T T"
Mo 0.000 0.000 0.000
Mo 6.913 3.457 1.349
V 3.457 3.457 0.000
V 3.457 6.913 1.349
Ti 5.162 1.728 0.674
Ti 1.751 5.185 0.674
Ti 5.185 5.208 2.023
Ti 8.641 8.618 2.023
```

Summary:
Energy above the lowest structure with this stoichiometry in eV per atom: 0.4606
Fermi-level density of states in states/eV per cell: 9.48
Total magnetization in μB/cell: 0.00
DFT formation energy in eV per atom: 0.47
Final energy in eV per atom: -8.469